Entry 1:
The following is a DFT calculation (PBE) of a geometry-optimized Y2FeAg structure.

Crystal system: orthorhombic
DFT formation energy: -0.02 eV per atom
DOS(E_F): 7.44 states/eV/f.u.
Total moment: 1.6 μB/cell
E_tot: -0.223 Ha/atom

Cell: 3.524 5.025 5.025 Å, 90.00 90.00 90.00°
Space group Pmm2 (No. 25)
Asymmetric unit:
Y1 0.000 0.000 0.000 [1 per cell]
Y2 0.000 0.500 0.499 [1 per cell]
Fe1 0.500 0.000 0.503 [1 per cell]
Ag1 0.500 0.500 0.999 [1 per cell]

---

Entry 2:
The following is a DFT calculation (PBE) of a geometry-optimized NdTiP2 structure.

Crystal system: trigonal
Energy above the most stable polymorph in this dataset: 0 meV/atom
DFT formation energy: -1.24 eV per atom
DOS(E_F): 2.17 states/eV/f.u.
Total moment: 0.0 μB/cell
E_tot: -0.261 Ha/atom

Cell: 3.8234 3.8234 18.8748 Å, 90.00 90.00 120.00°
Space group R-3m (No. 166, hexagonal axes)
Asymmetric unit:
Nd1 0.0000 0.0000 0.0000 [3 per cell]
Ti1 0.0000 0.0000 0.5000 [3 per cell]
P1 0.0000 0.0000 0.2361 [6 per cell]

---

Entry 3:
The following is a DFT calculation (PBE) of a geometry-optimized Ba4AgAuO structure.

Crystal system: orthorhombic
DOS(E_F): 4.33 states/eV/f.u.
Total moment: 0.0 μB/cell
Raw formation energy: -0.949 eV per atom
E_tot: -0.133 Ha/atom

Cell: 7.494 18.137 7.497 Å, 90.00 90.00 90.00°
Space group Cmcm (No. 63)
Asymmetric unit:
Ba1 0.000 0.061 0.250 [4 per cell]
Ba2 0.000 0.420 0.250 [4 per cell]
Ba3 0.250 0.250 0.000 [8 per cell]
Ag1 0.000 0.383 0.750 [4 per cell]
Au1 0.000 0.121 0.750 [4 per cell]
O1 0.000 0.277 0.250 [4 per cell]

---

Entry 4:
The following is a DFT calculation (PBE) of a geometry-optimized LaTlFe2 structure.

Crystal system: tetragonal
Energy above the most stable polymorph in this dataset: 233 meV/atom
DFT formation energy: 0.41 eV per atom
DOS(E_F): 3.82 states/eV/f.u.
Total moment: 4.2 μB/cell
E_tot: -0.208 Ha/atom

Cell: 3.576 3.576 6.596 Å, 90.00 90.00 90.00°
Space group P4/mmm (No. 123)
Asymmetric unit:
La1 0.000 0.000 0.000 [1 per cell]
Tl1 0.000 0.000 0.500 [1 per cell]
Fe1 0.500 0.500 0.321 [2 per cell]

---

Entry 5:
The following is a DFT calculation (PBE) of a geometry-optimized Ba2PrNbO6 structure.

Crystal system: monoclinic
DOS(E_F): 0.00 states/eV/f.u.
Total moment: 0.0 μB/cell
Raw formation energy: -2.939 eV per atom
E_tot: -0.286 Ha/atom

Cell: 6.188 6.151 10.617 Å, 90.00 125.12 90.00°
Space group P2_1/c (No. 14)
Asymmetric unit:
Ba1 0.242 0.012 0.249 [4 per cell]
Pr1 0.500 0.000 0.000 [2 per cell]
Nb1 0.000 0.000 0.500 [2 per cell]
O1 0.177 0.247 0.463 [4 per cell]
O2 0.207 0.718 0.964 [4 per cell]
O3 0.296 0.008 0.729 [4 per cell]

---

Entry 6:
The following is a DFT calculation (PBE) of a geometry-optimized Ce4SnBiPb2 structure.

Crystal system: trigonal
DFT formation energy: -0.43 eV per atom
DOS(E_F): 27.20 states/eV/f.u.
Total moment: 17.1 μB/cell
E_tot: -0.195 Ha/atom

Cell: 5.5244 5.5244 27.2003 Å, 90.00 90.00 120.00°
Space group R-3m (No. 166, hexagonal axes)
Asymmetric unit:
Ce1 0.0000 0.0000 0.1247 [6 per cell]
Ce2 0.0000 0.0000 0.3745 [6 per cell]
Sn1 0.0000 0.0000 0.5000 [3 per cell]
Bi1 0.0000 0.0000 0.0000 [3 per cell]
Pb1 0.0000 0.0000 0.2488 [6 per cell]

---

Question: The highest total moment belongs to which entry?
Answer: Ce4SnBiPb2

---

Question: The lowest E_tot belongs to which entry?
Answer: Ba2PrNbO6